(1)
{
  "formula": "LaTbSmSe3",
  "functional": "PBE",
  "state": "optimized geometry",
  "lattice": [[-1.0844, 1.0515, -3.8535], [-7.1329, -3.6408, 1.0138], [-1.9096, 9.7932, 3.2097]],
  "species": ["La", "La", "Tb", "Tb", "Sm", "Sm", "Se", "Se", "Se", "Se", "Se", "Se"],
  "frac_coords": [[0.2500, 0.1823, 0.2073], [0.7500, 0.8177, 0.7927], [0.2500, 0.6638, 0.0932], [0.7500, 0.3362, 0.9068], [0.2500, 0.1768, 0.6219], [0.7500, 0.8232, 0.3781], [0.7500, 0.9074, 0.1093], [0.2500, 0.0926, 0.8907], [0.2500, 0.7991, 0.5678], [0.7500, 0.2009, 0.4322], [0.7500, 0.4712, 0.1887], [0.2500, 0.5288, 0.8113]],
  "space_group": "P2_1/m",
  "final_energy_ev_per_atom": -5.815,
  "dos_ef_per_ev_cell": 6.28,
  "raw_formation_energy_mev_per_atom": -1693
}

=====

(2)
{
  "formula": "LaTbSm2Se6",
  "functional": "PBE",
  "state": "optimized geometry",
  "lattice": [[7.4199, 0.0005, 0.0007], [3.7104, 6.4255, 0.0006], [3.7102, 2.1425, 6.5739]],
  "species": ["La", "Tb", "Sm", "Sm", "Se", "Se", "Se", "Se", "Se", "Se"],
  "frac_coords": [[0.8120, 0.8121, 0.5638], [0.3179, 0.3179, 0.0462], [0.5185, 0.5185, 0.4446], [0.0145, 0.0147, 0.9562], [0.6079, 0.2191, 0.2501], [0.2190, 0.9228, 0.2501], [0.9229, 0.6080, 0.2502], [0.4021, 0.7175, 0.7512], [0.7175, 0.1291, 0.7513], [0.1291, 0.4022, 0.7513]],
  "space_group": "R3",
  "final_energy_ev_per_atom": -5.868,
  "dos_ef_per_ev_cell": 0.00,
  "raw_formation_energy_mev_per_atom": -1878
}

=====

(3)
{
  "formula": "La3Tb2SmSe6",
  "functional": "PBE",
  "state": "optimized geometry",
  "lattice": [[7.2835, -0.0121, -0.0024], [-3.6505, 6.3027, -0.0024], [-1.2143, -2.1025, 6.9328]],
  "species": ["La", "La", "La", "Tb", "Tb", "Sm", "Se", "Se", "Se", "Se", "Se", "Se"],
  "frac_coords": [[0.1647, 0.8353, 0.5000], [0.8353, 0.1647, 0.5000], [0.5000, 0.5000, 0.5000], [0.3335, 0.6665, 0.0000], [0.6665, 0.3335, 0.0000], [0.0000, 0.0000, 0.0000], [0.9216, 0.5839, 0.7642], [0.7403, 0.7403, 0.2342], [0.0784, 0.4161, 0.2358], [0.5839, 0.9216, 0.7642], [0.2597, 0.2597, 0.7658], [0.4161, 0.0784, 0.2358]],
  "space_group": "C2/m",
  "final_energy_ev_per_atom": -6.040,
  "dos_ef_per_ev_cell": 6.45,
  "raw_formation_energy_mev_per_atom": -1901
}

=====

> Which formula does entry 2 have?

LaTbSm2Se6